{"formula": "Mg4Sb2O9", "functional": "SCAN", "state": "single point on PBEsol structure", "energy_ev_per_fu": -186.20, "mass_density_g_cm3": 4.90, "raw_formation_energy_ev_per_fu": -35.7, "cell": [[5.200, 0.000, 0.000], [-0.067, 5.579, 0.000], [-2.590, -1.726, 11.330]], "species": ["Mg", "Mg", "Mg", "Mg", "Mg", "Mg", "Mg", "Mg", "Sb", "Sb", "Sb", "Sb", "O", "O", "O", "O", "O", "O", "O", "O", "O", "O", "O", "O", "O", "O", "O", "O", "O", "O"], "fractional_positions": [[0.036, 0.343, 0.096], [0.118, 0.831, 0.230], [0.276, 0.017, 0.580], [0.387, 0.670, 0.767], [0.613, 0.330, 0.233], [0.724, 0.983, 0.420], [0.882, 0.169, 0.770], [0.964, 0.657, 0.904], [0.214, 0.530, 0.427], [0.443, 0.151, 0.894], [0.557, 0.849, 0.106], [0.786, 0.470, 0.573], [0.076, 0.850, 0.404], [0.127, 0.918, 0.834], [0.140, 0.636, 0.596], [0.208, 0.680, 0.067], [0.222, 0.406, 0.833], [0.280, 0.478, 0.271], [0.377, 0.173, 0.059], [0.437, 0.270, 0.497], [0.484, 0.984, 0.263], [0.516, 0.016, 0.737], [0.563, 0.730, 0.503], [0.623, 0.827, 0.941], [0.720, 0.522, 0.729], [0.778, 0.594, 0.167], [0.792, 0.320, 0.933], [0.860, 0.364, 0.404], [0.873, 0.082, 0.166], [0.924, 0.150, 0.596]]}

***

{"formula": "TaCo2Ag", "functional": "SCAN", "state": "single point on PBEsol structure", "energy_ev_per_fu": -131.91, "mass_density_g_cm3": 12.54, "delta_e_f_ev_per_atom": 0.16, "cell": [[3.054, 0.000, 0.000], [0.000, 3.054, 0.000], [0.000, 0.000, 5.776]], "species": ["Ta", "Co", "Co", "Ag"], "fractional_positions": [[0.000, 0.000, 0.000], [0.500, 0.500, 0.228], [0.500, 0.500, 0.772], [0.000, 0.000, 0.500]]}